This record from the Alexandria database describes MoOsO6 after structural relaxation. The functional is PBE+U.

Computed properties:
Crystal system: trigonal
Electronic total energy (hartree per atom): -0.2667

a = 5.3886 Å, b = 5.3886 Å, c = 13.2008 Å
α = 90.00°, β = 90.00°, γ = 120.00°
Space group R-3 (No. 148, hexagonal axes)
Symmetry-distinct sites (fractional):
Mo: 0.0000 0.0000 0.0000 (multiplicity 3)
Os: 0.0000 0.0000 0.5000 (multiplicity 3)
O: 0.0041 0.5040 0.2490 (multiplicity 18)